## CaGePt (PBE)

Data for a geometry-optimized CaGePt structure.

Summary:
final energy	-5.1388	eV/atom
DFT formation energy	-0.919	eV/atom

Structure (POSCAR):
```
CaGePt
1.0
-2.1726 3.7829 -0.8808
-3.6980 -3.3433 -5.2373
-5.2918 -1.8883 4.9420
Pt Ca Ge
4 4 4
Cartesian
-6.7486 -0.6128 -2.8512
-4.4137 -0.8359 1.6750
-7.9226 -3.0998 0.6064
-3.2398 1.6511 -1.7826
-7.1824 -0.1704 0.1191
-3.9800 -1.2784 -1.2952
-5.9148 1.2938 3.2807
-5.2476 -2.7425 -4.4569
-6.5821 -1.8584 2.6318
-4.4990 1.4505 0.4617
-4.5802 0.4097 -3.8079
-6.6633 -2.8992 -1.6379
```


## CaGe2Pt2 (PBE)

Data for a geometry-optimized CaGe2Pt2 structure.

Summary:
final energy	-5.1087	eV/atom
DFT formation energy	-0.445	eV/atom

Structure (POSCAR):
```
CaGe2Pt2
1.0
-3.6694 -6.5661 -1.7063
3.9286 -3.6382 5.5515
-2.2112 0.7084 2.0290
Ge Pt Ca
4 4 2
Cartesian
-0.6717 -7.9870 2.0566
0.9309 -2.2173 1.7886
2.0587 -5.5333 4.1754
-1.7994 -4.6709 -0.3302
-2.8515 -6.4243 1.4785
-0.2080 -7.0280 4.5701
-1.7440 -2.4678 1.3041
0.8995 -3.0716 4.3957
0.1296 -5.1021 1.9226
0.0000 0.0000 0.0000
```


## CaGe3Pt (PBE)

Data for a geometry-optimized CaGe3Pt structure.

Summary:
final energy	-4.3770	eV/atom
DFT formation energy	0.002	eV/atom

Structure (POSCAR):
```
CaGe3Pt
1.0
-2.9853 -2.5492 -3.0580
2.6336 -4.1309 0.8726
-2.9856 -1.0949 3.8274
Ca Ge Pt
1 3 1
Cartesian
-1.6686 -3.8875 0.8210
-1.4928 -0.5475 1.9137
-1.4926 -1.2746 -1.5290
1.3168 -2.0654 0.4363
0.0000 0.0000 0.0000
```


## CaGe4Pt6 (PBE)

Data for a geometry-optimized CaGe4Pt6 structure.

Summary:
final energy	-5.6525	eV/atom
DFT formation energy	-0.496	eV/atom

Structure (POSCAR):
```
CaGe4Pt6
1.0
-3.2787 -3.1891 -4.7398
6.5809 -0.2357 -0.1475
-0.4236 -2.3675 6.1320
Ge Pt Ca
4 6 1
Cartesian
3.5312 -0.4476 0.7461
0.6561 -1.3227 3.3236
0.8671 -3.0638 -0.0729
3.9816 -3.5613 3.2323
2.2688 -2.3825 1.7220
-1.8511 -2.7783 0.6961
2.7368 -1.9492 4.6956
1.6511 -1.7124 -2.4437
-0.8854 -2.7776 -1.9306
4.9158 -1.2861 2.7421
0.0000 0.0000 0.0000
```


## Ca3GePt2 (PBE)

Data for a geometry-optimized Ca3GePt2 structure.

Summary:
final energy	-4.5182	eV/atom
DFT formation energy	-0.734	eV/atom

Structure (POSCAR):
```
Ca3GePt2
1.0
-2.1085 2.1741 7.6474
2.1085 -2.1741 7.6474
2.1085 2.1741 -7.6474
Pt Ge Ca
2 1 3
Cartesian
0.0000 2.1741 5.7547
2.1085 0.0000 1.8927
0.0000 0.0000 0.0000
2.1085 0.0000 4.9197
0.0000 2.1741 2.7277
0.0000 0.0000 7.6474
```


## CaGe2Pt5 (PBE)

Data for a geometry-optimized CaGe2Pt5 structure.

Summary:
final energy	-5.8198	eV/atom
DFT formation energy	-0.640	eV/atom

Structure (POSCAR):
```
CaGe2Pt5
1.0
-0.1288 3.9228 -0.2969
-5.7718 1.9497 2.1721
0.3519 2.4389 5.9800
Pt Ge Ca
5 2 1
Cartesian
-0.7955 4.1858 3.4671
-4.7532 4.1256 4.3882
-2.3199 4.3200 5.9013
-3.2288 3.9914 1.9539
-2.7099 2.1943 4.0761
-1.3862 2.0778 1.9623
-4.1624 6.2336 5.8929
0.0000 0.0000 0.0000
```


What did the fifth record say?
## Ca3GePt2 (PBE)

Data for a geometry-optimized Ca3GePt2 structure.

Summary:
final energy	-4.5182	eV/atom
DFT formation energy	-0.734	eV/atom

Structure (POSCAR):
```
Ca3GePt2
1.0
-2.1085 2.1741 7.6474
2.1085 -2.1741 7.6474
2.1085 2.1741 -7.6474
Pt Ge Ca
2 1 3
Cartesian
0.0000 2.1741 5.7547
2.1085 0.0000 1.8927
0.0000 0.0000 0.0000
2.1085 0.0000 4.9197
0.0000 2.1741 2.7277
0.0000 0.0000 7.6474
```


Among the records above, which one has the lowest final energy?
CaGe2Pt5


Which value of DFT formation energy does entry 4 give?
-0.496 eV/atom


Which value of DFT formation energy does entry 5 give?
-0.734 eV/atom